1.
The following is a DFT calculation (GGA-PBEsol) of a relaxed structure of KLa2As2.

Properties
- E above lowest polymorph: 0.000 eV per formula unit
- Calculated formation energy: -0.903 eV per atom

Cell lengths 8.4967, 8.4967, 3.7444 Å; angles 90.00, 90.00, 90.00 degrees
With the nearest neighbours (Å) after each atom.
Space group P4/mbm (No. 127)
Symmetry-distinct sites (fractional):
K 0.0000 0.0000 0.0000 [2 per cell]  4 La 3.31, 8 As 3.69
La 0.1351 0.3649 0.0000 [4 per cell]  6 As 3.07-3.16, 1 La 3.25, 2 K 3.31
As 0.1626 0.6626 0.5000 [4 per cell]  6 La 3.07-3.16

=====

2.
The following is a DFT calculation (GGA-PBEsol) of a relaxed structure of LiAgF2.

Properties
- E above lowest polymorph: 0.071 eV per formula unit

Cell lengths 2.9351, 2.9351, 11.4757 Å; angles 90.00, 90.00, 120.00 degrees
With the nearest neighbours (Å) after each atom.
Space group P6_3/mmc (No. 194)
Symmetry-distinct sites (fractional):
Li 0.0000 0.0000 0.0000 [2 per cell]  6 F 2.02
Ag 0.3333 0.6667 0.2500 [2 per cell]  6 F 2.46
F 0.3333 0.6667 0.5950 [4 per cell]  3 Li 2.02

=====

3.
The following is a DFT calculation (GGA-PBEsol) of a relaxed structure of CaFeTc2.

Properties
- E above lowest polymorph: 0.906 eV per formula unit
- Calculated formation energy: 0.644 eV per atom

Cell lengths 5.3039, 9.2604, 2.5744 Å; angles 90.00, 106.95, 90.00 degrees
With the nearest neighbours (Å) after each atom.
Space group C2/m (No. 12)
Symmetry-distinct sites (fractional):
Ca 0.0000 0.0000 0.0000 [2 per cell]  2 Ca 2.57, 2 Fe 2.65, 4 Tc 2.79
Fe 0.0000 0.5000 0.0000 [2 per cell]  2 Fe 2.57, 2 Ca 2.65, 4 Tc 2.79
Tc 0.2500 0.2500 0.5000 [4 per cell]  4 Tc 2.57-2.65, 2 Fe 2.79, 2 Ca 2.79

=====

4.
The following is a DFT calculation (GGA-PBEsol) of a relaxed structure of BeCoCu.

Properties
- Calculated formation energy: 0.039 eV per atom

Cell lengths 3.7708, 3.7708, 2.3837 Å; angles 90.00, 90.00, 120.00 degrees
With the nearest neighbours (Å) after each atom.
Space group P3m1 (No. 156)
Symmetry-distinct sites (fractional):
Be 0.0000 0.0000 0.0000 [1 per cell]  3 Cu 2.25, 3 Co 2.31, 2 Be 2.38
Co 0.3333 0.6667 0.3191 [1 per cell]  3 Be 2.31, 2 Co 2.38, 6 Cu 2.41-2.56
Cu 0.6667 0.3333 0.7539 [1 per cell]  3 Be 2.25, 2 Cu 2.38, 3 Co 2.41

=====

5.
The following is a DFT calculation (GGA-PBEsol) of a relaxed structure of ScCo2BSb.

Properties
- Total DFT energy (no corrections): -25.38 eV for the cell shown

Cell lengths 4.5380, 4.5380, 5.3078 Å; angles 90.00, 90.00, 90.00 degrees
With the nearest neighbours (Å) after each atom.
Space group P4/mmm (No. 123)
Symmetry-distinct sites (fractional):
Sc 0.0000 0.0000 0.0000 [1 per cell]  2 Sb 2.65
Co 0.0000 0.5000 0.5000 [2 per cell]  2 Sb 2.27
B 0.5000 0.5000 0.0000 [1 per cell]  4 Sc 3.21, 8 Co 3.49
Sb 0.0000 0.0000 0.5000 [1 per cell]  4 Co 2.27

=====

6.
The following is a DFT calculation (GGA-PBEsol) of a relaxed structure of Fe3HgOs.

Properties
- Calculated formation energy: 2.439 eV per atom

Cell lengths 4.5943, 4.5943, 4.5943 Å; angles 90.00, 90.00, 90.00 degrees
With the nearest neighbours (Å) after each atom.
Space group Pm-3m (No. 221)
Symmetry-distinct sites (fractional):
Fe 0.0000 0.0000 0.5000 [3 per cell]  2 Hg 2.30
Hg 0.0000 0.0000 0.0000 [1 per cell]  6 Fe 2.30
Os 0.5000 0.5000 0.5000 [1 per cell]  12 Fe 3.25

=====

7.
The following is a DFT calculation (GGA-PBEsol) of a relaxed structure of ZrBe2CoHg.

Properties
- Calculated formation energy: 0.362 eV per atom

Cell lengths 4.0582, 4.0582, 4.7010 Å; angles 90.00, 90.00, 90.00 degrees
With the nearest neighbours (Å) after each atom.
Space group P4/mmm (No. 123)
Symmetry-distinct sites (fractional):
Zr 0.0000 0.0000 0.0000 [1 per cell]  4 Hg 2.87, 8 Be 3.11
Be 0.0000 0.5000 0.5000 [2 per cell]  2 Co 2.03
Co 0.5000 0.5000 0.5000 [1 per cell]  4 Be 2.03
Hg 0.5000 0.5000 0.0000 [1 per cell]  2 Co 2.35

=====

8.
The following is a DFT calculation (GGA-PBEsol) of a relaxed structure of Cu2Pt.

Properties
- E above lowest polymorph: 0.053 eV per formula unit
- Calculated formation energy: -0.108 eV per atom

Cell lengths 3.6695, 7.5083, 11.0326 Å; angles 90.00, 90.00, 90.00 degrees
With the nearest neighbours (Å) after each atom.
Space group Immm (No. 71)
Symmetry-distinct sites (fractional):
Cu 0.0000 0.0000 0.0000 [2 per cell]  8 Pt 2.63-2.68, 4 Cu 2.64
Cu 0.0000 0.0000 0.3336 [4 per cell]  4 Pt 2.56-2.58, 8 Cu 2.60-2.62
Cu 0.0000 0.2505 0.1680 [8 per cell]  7 Cu 2.58-2.64, 5 Pt 2.58-2.63
Cu 0.0000 0.5000 0.0000 [2 per cell]  4 Pt 2.58, 8 Cu 2.60-2.64
Pt 0.0000 0.2407 0.5000 [4 per cell]  10 Cu 2.58-2.68, 2 Pt 2.71
Pt 0.0000 0.5000 0.3288 [4 per cell]  10 Cu 2.56-2.63, 2 Pt 2.71

=====

9.
The following is a DFT calculation (GGA-PBEsol) of a relaxed structure of LaMoPb3.

Properties
- Calculated formation energy: 1.632 eV per atom

Cell lengths 5.9025, 5.9025, 5.9025 Å; angles 90.00, 90.00, 90.00 degrees
With the nearest neighbours (Å) after each atom.
Space group Pm-3m (No. 221)
Symmetry-distinct sites (fractional):
La 0.0000 0.0000 0.0000 [1 per cell]  6 Pb 2.95
Mo 0.5000 0.5000 0.5000 [1 per cell]  12 Pb 4.17
Pb 0.0000 0.0000 0.5000 [3 per cell]  2 La 2.95

=====

10.
The following is a DFT calculation (GGA-PBEsol) of a relaxed structure of Cd5Si2O10.

Properties
- Total DFT energy (no corrections): -191.00 eV for the cell shown

Cell lengths 8.6136, 4.9304, 11.2081 Å; angles 90.00, 108.64, 90.00 degrees
With the nearest neighbours (Å) after each atom.
Space group P2_1/c (No. 14)
Symmetry-distinct sites (fractional):
Cd 0.0000 0.0000 0.0000 [2 per cell]  6 O 2.21-2.39
Cd 0.2034 0.0144 0.3343 [4 per cell]  6 O 2.22-2.41
Cd 0.4234 0.0116 0.1137 [4 per cell]  5 O 2.21-2.31
Si 0.2005 0.5723 0.1458 [4 per cell]  4 O 1.64-1.66
O 0.0413 0.7060 0.1767 [4 per cell]  1 Si 1.66
O 0.1939 0.7000 0.0072 [4 per cell]  1 Si 1.66
O 0.2084 0.2408 0.1498 [4 per cell]  1 Si 1.64
O 0.3622 0.7145 0.2491 [4 per cell]  1 Si 1.66
O 0.4275 0.2194 0.4573 [4 per cell]  3 Cd 2.21-2.24

=====

11.
The following is a DFT calculation (GGA-PBEsol) of a relaxed structure of Ba2CaZr.

Properties
- Calculated formation energy: 0.554 eV per atom

Cell lengths 8.4915, 8.4915, 8.4915 Å; angles 90.00, 90.00, 90.00 degrees
With the nearest neighbours (Å) after each atom.
Space group Fm-3m (No. 225)
Symmetry-distinct sites (fractional):
Ba 0.2500 0.2500 0.2500 [8 per cell]  4 Zr 3.68, 4 Ca 3.68
Ca 0.0000 0.0000 0.0000 [4 per cell]  8 Ba 3.68
Zr 0.0000 0.0000 0.5000 [4 per cell]  8 Ba 3.68

=====

12.
The following is a DFT calculation (GGA-PBEsol) of a relaxed structure of SrTcAsSe2.

Properties
- Total DFT energy (no corrections): -19.13 eV for the cell shown

Cell lengths 5.4928, 5.4928, 5.4264 Å; angles 90.00, 90.00, 90.00 degrees
With the nearest neighbours (Å) after each atom.
Space group P4/mmm (No. 123)
Symmetry-distinct sites (fractional):
Sr 0.0000 0.0000 0.0000 [1 per cell]  2 As 2.71, 4 Se 2.75
Tc 0.5000 0.5000 0.5000 [1 per cell]  8 Se 3.86, 4 As 3.88
As 0.0000 0.0000 0.5000 [1 per cell]  2 Sr 2.71
Se 0.0000 0.5000 0.0000 [2 per cell]  2 Sr 2.75